Entry 1:
Below is a geometry-optimized NaLiMg2Pt structure, with properties calculated at the PBE-GGA level.

calculated formation energy	-0.2745	eV/atom

Lattice parameters (Å, degrees): 5.068 5.068 4.917 90.00 90.00 90.00
Element x y z (fractional)
Li1 0.000 0.000 0.500
Pt1 0.000 0.000 0.000
Na1 0.500 0.500 0.500
Mg1 0.500 0.000 0.000
Mg2 0.000 0.500 0.000



Entry 2:
Below is a geometry-optimized NaLiMg2Rh structure, with properties calculated at the PBE-GGA level.

calculated formation energy	-0.0333	eV/atom

Lattice parameters (Å, degrees): 4.999 4.999 4.870 90.00 90.00 90.00
Element x y z (fractional)
Mg1 0.000 0.500 0.000
Na1 0.500 0.500 0.500
Mg2 0.500 0.000 0.000
Li1 0.000 0.000 0.500
Rh1 0.000 0.000 0.000



Entry 3:
Below is a geometry-optimized Na2LiMgRu structure, with properties calculated at the PBE-GGA level.

calculated formation energy	0.7421	eV/atom

Lattice parameters (Å, degrees): 4.703 4.721 4.703 90.00 90.00 90.00
Last column: magnetic moment on the atom in μB.
Element x y z (fractional)
Na1 0.500 0.000 0.000  -0.01
Mg1 0.500 0.500 0.500  -0.01
Na2 0.000 0.000 0.500  -0.01
Li1 0.000 0.000 0.000  -0.01
Ru1 0.000 0.500 0.000  0.70



Entry 4:
Below is a geometry-optimized Na2LiMgS structure, with properties calculated at the PBE-GGA level.

energy relative to the elements, uncorrected	-0.421	eV per atom

Lattice parameters (Å, degrees): 5.508 4.629 5.508 90.00 90.00 90.00
Element x y z (fractional)
Na1 0.000 0.000 0.500
Na2 0.500 0.000 0.000
Mg1 0.500 0.500 0.500
S1 0.000 0.000 0.000
Li1 0.000 0.500 0.000